Density functional theory data (PBE-GGA) for a relaxed structure of AgGeI4.

Summary:
Its formation energy from raw total energies is -1.11 eV per formula unit. Its calculated total energy is -2.463 eV/atom. The polymorph energy (0 for the lowest one) comes out at 0 meV per atom. The value obtained for the magnetic moment is 0.000 μB/f.u.

a b c (Å): 4.103 7.248 7.602
angles (deg): 83.78 90.00 90.00
Element x y z (fractional)
I 0.000 0.225 0.316
I 0.500 0.743 0.164
I 0.500 0.257 0.836
I 0.000 0.775 0.684
Ge 0.000 0.000 0.000
Ag 0.500 0.000 0.500


Density functional theory data (PBE-GGA) for a relaxed structure of AgGe2I.

Summary:
Its formation energy from raw total energies is 1.78 eV per formula unit. Its calculated total energy is -2.964 eV/atom. The polymorph energy (0 for the lowest one) comes out at 0 meV per atom. The value obtained for the magnetic moment is 0.000 μB/f.u.

a b c (Å): 6.283 6.283 7.824
angles (deg): 66.33 66.33 90.00
Element x y z (fractional)
I 0.000 0.000 0.000
I 0.750 0.250 0.500
Ag 0.250 0.750 0.500
Ag 0.500 0.500 0.000
Ge 0.196 0.625 0.250
Ge 0.375 0.446 0.750
Ge 0.875 0.804 0.750
Ge 0.554 0.125 0.250


Density functional theory data (PBE-GGA) for a relaxed structure of Ag2GeI.

Summary:
Its formation energy from raw total energies is 2.24 eV per formula unit. Its calculated total energy is -2.407 eV/atom. The polymorph energy (0 for the lowest one) comes out at 276 meV per atom. The value obtained for the magnetic moment is 0.000 μB/f.u.

a b c (Å): 5.061 5.061 5.061
angles (deg): 60.00 60.00 60.00
Element x y z (fractional)
I 0.500 0.500 0.500
Ag 0.750 0.750 0.750
Ag 0.250 0.250 0.250
Ge 0.000 0.000 0.000